LiZrCuTe3 | PBE | optimized geometry

Structure (CIF):
```
data_LiZrCuTe3
_chemical_formula_sum 'Li4 Zr4 Cu4 Te12'
_cell_length_a 8.359
_cell_length_b 4.161
_cell_length_c 16.949
_cell_angle_alpha 90.00
_cell_angle_beta 90.00
_cell_angle_gamma 90.00
_symmetry_space_group_name_H-M 'P n m a'
_symmetry_Int_Tables_number 62
_symmetry_space_group_name_Hall '-P 2ac 2n'
loop_
_atom_site_label
_atom_site_type_symbol
_atom_site_fract_x
_atom_site_fract_y
_atom_site_fract_z
Li1 Li 0.073 0.250 0.214
Zr1 Zr 0.237 0.250 0.954
Cu1 Cu 0.011 0.750 0.327
Te1 Te 0.004 0.250 0.417
Te2 Te 0.123 0.750 0.063
Te3 Te 0.193 0.250 0.784
```

Computed properties:
**Uncorrected energy**: -4.565 eV per atom
**Mass density**: 6.1 g cm⁻³
**Total moment**: 0.00 μB per formula unit